# 1
Compound: BaErAgSn
Source: Alexandria
Functional: GGA-PBE
Structure: optimized geometry

POSCAR file:
```
BaErAgSn
1.0
5.561 0.000 0.000
2.781 4.816 0.000
2.781 1.605 4.541
Ag Ba Sn Er
1 1 1 1
Cartesian
8.342 4.816 3.406
0.000 0.000 0.000
2.781 1.605 1.135
5.561 3.211 2.270
```

As for the uncorrected energy: -3.69 eV per atom. The total moment comes out at 0.00 μB/atom. As for the space group: F-43m. As for the formation energy from the elements: -0.357 eV per atom.

# 2
Compound: TlTeN2
Source: Alexandria
Functional: GGA-PBE
Structure: optimized geometry

POSCAR file:
```
TlTeN2
1.0
-5.371 2.255 4.727
-0.741 -1.662 3.929
7.340 7.340 6.848
Tl Te N
2 2 4
Cartesian
3.045 4.329 8.360
-1.818 3.604 7.144
3.299 2.839 5.389
0.984 4.797 5.788
1.550 6.990 13.582
-0.322 0.944 1.922
2.856 7.824 10.140
-1.628 0.109 5.364
```

As for the uncorrected formation energy: -0.270 eV/f.u. As for the uncorrected energy: -5.61 eV per atom. As for the distance to the lowest polymorph of the same formula: 0 meV per atom. The total moment comes out at 0.00 μB/atom. As for the space group: P-1.

# 3
Compound: Li2Ac5Co2
Source: Alexandria
Functional: GGA-PBE
Structure: optimized geometry

POSCAR file:
```
Li2Ac5Co2
1.0
5.488 0.959 -1.566
-1.337 5.408 -1.566
-0.326 -0.500 9.339
Li Ac Co
2 5 2
Cartesian
2.970 4.556 2.407
0.855 1.312 3.799
0.000 0.000 0.000
0.649 4.725 5.070
4.061 2.500 5.070
3.176 1.143 1.137
-0.236 3.367 1.137
3.112 2.508 -1.566
1.039 3.860 -1.566
```

As for the uncorrected energy: -4.11 eV per atom. The total moment comes out at 0.00 μB/atom. As for the space group: Fmmm. As for the formation energy from the elements: 0.175 eV per atom.

# 4
Compound: NdTmScZn
Source: Alexandria
Functional: GGA-PBE
Structure: optimized geometry

POSCAR file:
```
NdTmScZn
1.0
5.255 0.000 0.000
2.627 4.551 0.000
2.627 1.517 4.291
Sc Zn Tm Nd
1 1 1 1
Cartesian
0.000 0.000 0.000
5.255 3.034 2.145
7.882 4.551 3.218
2.627 1.517 1.073
```

As for the uncorrected energy: -4.21 eV per atom. As for the distance to the lowest polymorph of the same formula: 156 meV per atom. The total moment comes out at 0.00 μB/atom. As for the space group: F-43m. As for the formation energy from the elements: -0.001 eV per atom.

# 5
Compound: Li2CO3
Source: Alexandria
Functional: GGA-PBE
Structure: optimized geometry

POSCAR file:
```
Li2CO3
1.0
-1.448 4.447 1.476
-4.675 0.573 1.364
-0.473 0.212 6.323
Li C O
4 2 6
Cartesian
-4.192 3.739 3.008
-1.840 1.780 3.004
-2.405 1.492 6.154
-4.757 3.451 6.158
-2.013 4.353 6.211
-4.584 0.878 2.952
-2.835 3.366 6.182
-3.761 1.865 2.980
-1.015 1.134 4.756
-5.400 4.705 7.582
-5.582 4.097 4.406
-1.197 0.526 1.581
```

As for the uncorrected formation energy: -11.371 eV/f.u. As for the uncorrected energy: -6.55 eV per atom. As for the distance to the lowest polymorph of the same formula: 0 meV per atom. The total moment comes out at 0.00 μB/atom. As for the space group: C2/c.

# 6
Compound: Rb2LiCuI6
Source: Alexandria
Functional: GGA-PBE
Structure: optimized geometry

POSCAR file:
```
Rb2LiCuI6
1.0
8.122 0.000 0.000
0.000 8.122 0.000
4.061 4.061 5.715
I Cu Rb Li
6 1 2 1
Cartesian
4.061 4.061 3.033
8.122 8.122 2.682
2.003 2.003 0.000
6.119 6.119 0.000
6.119 2.003 0.000
2.003 6.119 0.000
0.000 0.000 0.000
8.122 4.061 2.857
4.061 8.122 2.857
4.061 4.061 0.000
```

As for the uncorrected formation energy: -7.653 eV/f.u. As for the uncorrected energy: -2.49 eV per atom. The total moment comes out at 0.00 μB/atom. As for the space group: I4/mmm.

# 7
Compound: Tb7Pm2Ho2
Source: Alexandria
Functional: GGA-PBE
Structure: optimized geometry

POSCAR file:
```
Tb7Pm2Ho2
1.0
-3.510 7.995 -0.306
-2.452 -1.858 5.739
5.765 1.629 2.547
Tb Pm Ho
7 2 2
Cartesian
-1.533 4.854 6.462
-1.642 1.648 2.675
1.336 2.912 1.519
1.446 6.117 5.305
-1.755 3.997 -0.153
0.764 2.709 4.929
-0.960 5.057 3.051
-0.395 8.498 3.272
0.199 -0.733 4.708
-2.686 7.203 0.950
2.490 0.563 7.031
```

As for the uncorrected energy: -4.53 eV per atom. As for the distance to the lowest polymorph of the same formula: 0 meV per atom. The total moment comes out at 0.00 μB/atom. As for the space group: C2/m. As for the formation energy from the elements: 0.116 eV per atom.

# 8
Compound: DyHoCo
Source: Alexandria
Functional: GGA-PBE
Structure: optimized geometry

POSCAR file:
```
DyHoCo
1.0
3.846 0.000 0.000
-1.923 3.331 0.000
0.000 0.000 6.185
Co Ho Dy
1 1 1
Cartesian
1.923 1.110 2.064
0.000 2.221 3.496
0.000 0.000 0.624
```

As for the uncorrected energy: -5.49 eV per atom. As for the distance to the lowest polymorph of the same formula: 81 meV per atom. The total moment comes out at 0.00 μB/atom. As for the space group: P3m1. As for the formation energy from the elements: -0.059 eV per atom.

# 9
Compound: HfCoSiRh
Source: Alexandria
Functional: GGA-PBE
Structure: optimized geometry

POSCAR file:
```
HfCoSiRh
1.0
-2.085 3.784 -0.292
-1.321 1.452 -3.860
-4.223 0.077 -0.955
Rh Si Hf Co
1 1 1 1
Cartesian
0.000 0.000 0.000
-1.907 1.328 -1.277
-5.722 3.985 -3.831
-3.815 2.657 -2.554
```

As for the uncorrected formation energy: -2.605 eV/f.u. As for the uncorrected energy: -8.11 eV per atom. The total moment comes out at 0.41 μB/atom. As for the space group: F-43m.

# 10
Compound: PrCu2GeN
Source: Alexandria
Functional: GGA-PBE
Structure: optimized geometry

POSCAR file:
```
PrCu2GeN
1.0
-0.152 -1.650 -3.294
5.801 2.151 0.719
1.905 -6.136 2.985
Pr Cu Ge N
2 4 2 2
Cartesian
6.717 -3.377 1.382
0.837 -2.258 -0.971
3.664 -5.363 2.517
3.891 -0.272 -2.106
2.923 -2.977 1.356
4.631 -2.657 -0.946
4.063 -4.799 0.153
3.492 -0.835 0.258
0.000 0.000 0.000
0.952 -3.068 1.493
```

As for the uncorrected formation energy: -2.322 eV/f.u. As for the uncorrected energy: -5.65 eV per atom. The total moment comes out at 0.00 μB/atom. As for the space group: Cmcm.

# 11
Compound: Tb2PrZn4
Source: Alexandria
Functional: GGA-PBE
Structure: optimized geometry

POSCAR file:
```
Tb2PrZn4
1.0
-4.925 1.306 1.141
0.035 -3.359 3.998
4.561 5.637 1.287
Tb Pr Zn
2 1 4
Cartesian
-1.499 1.035 4.293
1.170 2.549 2.132
0.000 0.000 0.000
1.650 1.879 4.975
-0.830 4.212 3.546
-1.980 1.705 1.450
0.500 -0.627 2.879
```

As for the uncorrected energy: -2.87 eV per atom. The total moment comes out at 0.00 μB/atom. As for the space group: I4/mmm. As for the formation energy from the elements: -0.132 eV per atom.

# 12
Compound: Dy4Ho
Source: Alexandria
Functional: GGA-PBE
Structure: optimized geometry

POSCAR file:
```
Dy4Ho
1.0
6.978 0.000 0.000
3.489 5.359 0.695
3.489 1.613 8.587
Dy Ho
8 2
Cartesian
10.467 4.524 7.139
6.978 4.526 7.140
8.722 2.038 5.308
5.234 2.038 5.308
8.722 4.934 3.974
5.234 4.934 3.974
6.978 2.446 2.142
3.489 2.448 2.143
5.233 0.000 0.000
1.745 0.000 0.000
```

As for the uncorrected energy: -4.54 eV per atom. As for the distance to the lowest polymorph of the same formula: 36 meV per atom. The total moment comes out at 0.00 μB/atom. As for the space group: Cmmm. As for the formation energy from the elements: 0.054 eV per atom.

Question: The lowest uncorrected energy belongs to which entry?
Answer: HfCoSiRh